A plane-wave DFT calculation with GGA-PBEsol was carried out for a relaxed CsPdCl3 crystal.

Output
As for the crystal system: cubic. For the energy relative to the elements, uncorrected, the calculation gives -1.13 eV/atom.

abc: 4.9307 4.9307 4.9307
angles: 90.00 90.00 90.00
Closest atoms and distances in Å follow each position.
Element x y z (fractional)
1 Cs 0.5000 0.5000 0.5000  12 Cl 3.49
2 Pd 0.0000 0.0000 0.0000  6 Cl 2.47
3 Cl 0.0000 0.5000 0.0000  2 Pd 2.47
4 Cl 0.0000 0.0000 0.5000  2 Pd 2.47
5 Cl 0.5000 0.0000 0.0000  2 Pd 2.47

=====

A plane-wave DFT calculation with GGA-PBEsol was carried out for a relaxed LiCa2Tl crystal.

Output
The calculated total energy is -2.4898 eV/atom. As for the crystal system: tetragonal.

abc: 3.8212 3.8212 7.8909
angles: 90.00 90.00 90.00
Closest atoms and distances in Å follow each position.
Element x y z (fractional)
1 Tl 0.5000 0.5000 0.5000  8 Ca 3.29
2 Ca 0.0000 0.0000 0.7385  4 Tl 3.29, 4 Li 3.40
3 Ca 0.0000 0.0000 0.2615  4 Tl 3.29, 4 Li 3.40
4 Li 0.5000 0.5000 0.0000  8 Ca 3.40

=====

A plane-wave DFT calculation with GGA-PBEsol was carried out for a relaxed Li2Zr4As3P3O24 crystal.

Output
As for the crystal system: monoclinic. For the energy relative to the elements, uncorrected, the calculation gives -2.40 eV/atom.

abc: 8.9902 9.0736 12.6915
angles: 90.00 91.70 90.00
Closest atoms and distances in Å follow each position.
Element x y z (fractional)
1 Li 0.1996 0.0194 0.1838  4 O 1.99-2.03
2 Li 0.6996 0.9806 0.6838  4 O 1.99-2.03
3 Li 0.7849 0.4704 0.8246  4 O 1.99-2.04
4 Li 0.2849 0.5296 0.3246  4 O 1.99-2.04
5 Zr 0.7592 0.2328 0.1163  6 O 2.05-2.10
6 Zr 0.2592 0.7672 0.6163  6 O 2.05-2.10
7 Zr 0.2443 0.2741 0.8818  6 O 2.01-2.11
8 Zr 0.7443 0.7259 0.3818  6 O 2.01-2.11
9 Zr 0.7407 0.7917 0.8841  6 O 1.99-2.14
10 Zr 0.2407 0.2083 0.3841  6 O 1.99-2.14
11 Zr 0.2618 0.6994 0.1152  6 O 2.00-2.12
12 Zr 0.7618 0.3006 0.6152  6 O 2.00-2.12
13 As 0.9005 0.8726 0.1470  4 O 1.68-1.71
14 As 0.4005 0.1274 0.6470  4 O 1.68-1.71
15 As 0.0992 0.6282 0.8513  4 O 1.68-1.71
16 As 0.5992 0.3718 0.3513  4 O 1.68-1.71
17 As 0.4707 0.9945 0.0152  4 O 1.68-1.71
18 As 0.9707 0.0055 0.5152  4 O 1.68-1.71
19 P 0.5311 0.5008 0.9859  4 O 1.53-1.56
20 P 0.0311 0.4992 0.4859  4 O 1.53-1.56
21 P 0.8833 0.1504 0.8568  4 O 1.53-1.56
22 P 0.3833 0.8496 0.3568  4 O 1.53-1.56
23 P 0.1189 0.3499 0.1434  4 O 1.53-1.56
24 P 0.6189 0.6501 0.6434  4 O 1.53-1.56
25 O 0.8200 0.1993 0.9619  1 P 1.53
26 O 0.3200 0.8007 0.4619  1 P 1.53
27 O 0.1783 0.3095 0.0357  1 P 1.53
28 O 0.6783 0.6905 0.5357  1 P 1.53
29 O 0.8479 0.8287 0.0208  1 As 1.70
30 O 0.3479 0.1713 0.5208  1 As 1.70
31 O 0.1512 0.6696 0.9777  1 As 1.70
32 O 0.6512 0.3304 0.4777  1 As 1.70
33 O 0.8130 0.9993 0.8236  1 P 1.56
34 O 0.3130 0.0007 0.3236  1 P 1.56
35 O 0.1877 0.4995 0.1809  1 P 1.56
36 O 0.6877 0.5005 0.6809  1 P 1.56
37 O 0.6683 0.7711 0.7239  1 P 1.56
38 O 0.1683 0.2289 0.2239  1 P 1.56
39 O 0.3364 0.7303 0.2739  1 P 1.56
40 O 0.8364 0.2697 0.7739  1 P 1.56
41 O 0.5462 0.8694 0.9336  1 As 1.69
42 O 0.0462 0.1306 0.4336  1 As 1.69
43 O 0.4503 0.6113 0.0575  1 P 1.55
44 O 0.9503 0.3887 0.5575  1 P 1.55
45 O 0.6483 0.5822 0.9186  1 P 1.56
46 O 0.1483 0.4178 0.4186  1 P 1.56
47 O 0.3377 0.9140 0.0894  1 As 1.71
48 O 0.8377 0.0860 0.5894  1 As 1.71
49 O 0.8971 0.0575 0.1646  1 As 1.69
50 O 0.3971 0.9425 0.6646  1 As 1.69
51 O 0.1174 0.4467 0.8266  1 As 1.69
52 O 0.6174 0.5533 0.3266  1 As 1.69
53 O 0.6163 0.3907 0.0575  1 P 1.54
54 O 0.1163 0.6093 0.5575  1 P 1.54
55 O 0.3842 0.1164 0.9349  1 As 1.68
56 O 0.8842 0.8836 0.4349  1 As 1.68
57 O 0.6956 0.2658 0.2687  1 As 1.68
58 O 0.1956 0.7342 0.7687  1 As 1.68
59 O 0.2956 0.2264 0.7289  1 As 1.68
60 O 0.7956 0.7736 0.2289  1 As 1.68
61 O 0.9121 0.6556 0.8353  1 As 1.71
62 O 0.4121 0.3444 0.3353  1 As 1.71
63 O 0.0837 0.8289 0.1672  1 As 1.71
64 O 0.5837 0.1711 0.6672  1 As 1.71
65 O 0.5988 0.0695 0.0984  1 As 1.68
66 O 0.0988 0.9305 0.5984  1 As 1.68
67 O 0.4178 0.4248 0.9117  1 P 1.53
68 O 0.9178 0.5752 0.4117  1 P 1.53
69 O 0.9487 0.3622 0.1386  1 P 1.53
70 O 0.4487 0.6378 0.6386  1 P 1.53
71 O 0.0531 0.1398 0.8646  1 P 1.53
72 O 0.5531 0.8602 0.3646  1 P 1.53

=====

A plane-wave DFT calculation with GGA-PBEsol was carried out for a relaxed SrCd3Ni crystal.

Output
The calculated total energy is -2.4408 eV/atom. As for the crystal system: cubic.

abc: 4.9434 4.9434 4.9434
angles: 90.00 90.00 90.00
Closest atoms and distances in Å follow each position.
Element x y z (fractional)
1 Sr 0.5000 0.5000 0.5000  12 Cd 3.50
2 Ni 0.0000 0.0000 0.0000  6 Cd 2.47
3 Cd 0.0000 0.5000 0.0000  2 Ni 2.47
4 Cd 0.0000 0.0000 0.5000  2 Ni 2.47
5 Cd 0.5000 0.0000 0.0000  2 Ni 2.47

=====

A plane-wave DFT calculation with GGA-PBEsol was carried out for a relaxed LiCoIr2 crystal.

Output
The calculated total energy is -7.3143 eV/atom. As for the crystal system: monoclinic.

abc: 2.6354 4.3742 4.5789
angles: 98.99 106.73 90.00
Closest atoms and distances in Å follow each position.
Element x y z (fractional)
1 Co 0.7403 0.2641 0.4805  3 Li 2.47-2.66, 6 Ir 2.54-2.58, 2 Co 2.64
2 Ir 0.0037 0.9883 0.0074  4 Li 2.54-2.57, 5 Ir 2.58-2.64, 3 Co 2.58-2.78
3 Ir 0.2578 0.7647 0.5157  4 Co 2.54-2.58, 5 Ir 2.58-2.64, 3 Li 2.61-2.74
4 Li 0.4982 0.4829 0.9963  3 Co 2.47-2.66, 7 Ir 2.54-2.74, 2 Li 2.64

=====

A plane-wave DFT calculation with GGA-PBEsol was carried out for a relaxed CuNi2Ir crystal.

Output
The calculated total energy is -6.5323 eV/atom. As for the crystal system: monoclinic.

abc: 2.5930 4.3823 4.3881
angles: 100.24 107.18 90.00
Closest atoms and distances in Å follow each position.
Element x y z (fractional)
1 Ni 0.2490 0.2495 0.4980  3 Ir 2.53-2.55, 3 Cu 2.53-2.54, 6 Ni 2.55-2.59
2 Ni 0.7510 0.7505 0.5020  3 Ir 2.53-2.55, 3 Cu 2.53-2.54, 6 Ni 2.55-2.59
3 Ir 0.5000 0.0000 0.0000  6 Ni 2.53-2.55, 4 Cu 2.55, 2 Ir 2.59
4 Cu 0.0000 0.5000 0.0000  6 Ni 2.53-2.54, 4 Ir 2.55, 2 Cu 2.59

=====

A plane-wave DFT calculation with GGA-PBEsol was carried out for a relaxed RbReS2Cl crystal.

Output
As for the crystal system: tetragonal. For the energy relative to the elements, uncorrected, the calculation gives -0.54 eV/atom.

abc: 4.5622 4.5622 5.2964
angles: 90.00 90.00 90.00
Closest atoms and distances in Å follow each position.
Element x y z (fractional)
1 Re 0.0000 0.0000 0.0000  4 S 2.28
2 S 0.0000 0.5000 0.0000  2 Re 2.28
3 S 0.5000 0.0000 0.0000  2 Re 2.28
4 Rb 0.5000 0.5000 0.5000  4 Cl 3.23, 8 S 3.50
5 Cl 0.0000 0.0000 0.5000  2 Re 2.65

=====

A plane-wave DFT calculation with GGA-PBEsol was carried out for a relaxed YCd2Ru crystal.

Output
The calculated total energy is -4.8318 eV/atom. As for the crystal system: orthorhombic.

abc: 3.2323 4.2123 5.6856
angles: 90.00 90.00 90.00
Closest atoms and distances in Å follow each position.
Element x y z (fractional)
1 Cd 0.0000 0.0000 0.7704  1 Cd 2.61
2 Cd 0.0000 0.0000 0.2296  1 Cd 2.61
3 Ru 0.5000 0.5000 0.0000  2 Y 2.84, 8 Cd 2.96
4 Y 0.5000 0.5000 0.5000  2 Ru 2.84, 8 Cd 3.07

=====

A plane-wave DFT calculation with GGA-PBEsol was carried out for a relaxed TiBe2Re2 crystal.

Output
The calculated total energy is -8.9928 eV/atom. As for the crystal system: tetragonal.

abc: 3.1517 6.0673 6.0673
angles: 90.00 90.00 90.00
Closest atoms and distances in Å follow each position.
Element x y z (fractional)
1 Re 0.5000 0.1757 0.6757  6 Be 2.37-2.40
2 Re 0.5000 0.6757 0.8243  6 Be 2.37-2.40
3 Re 0.5000 0.8243 0.3243  6 Be 2.37-2.40
4 Re 0.5000 0.3243 0.1757  6 Be 2.37-2.40
5 Ti 0.0000 0.0000 0.0000  4 Be 2.43
6 Ti 0.0000 0.5000 0.5000  4 Be 2.43
7 Be 0.0000 0.3826 0.8826  1 Be 2.01
8 Be 0.0000 0.8826 0.6174  1 Be 2.01
9 Be 0.0000 0.6174 0.1174  1 Be 2.01
10 Be 0.0000 0.1174 0.3826  1 Be 2.01

=====

A plane-wave DFT calculation with GGA-PBEsol was carried out for a relaxed Mn4Al11 crystal.

Output
The calculated total energy is -5.8635 eV/atom. As for the crystal system: triclinic.

abc: 4.9841 4.9996 8.6934
angles: 74.74 90.15 79.62
Closest atoms and distances in Å follow each position.
Element x y z (fractional)
1 Mn 0.6642 0.3894 0.8669  8 Al 2.36-2.58
2 Mn 0.3358 0.6106 0.1331  8 Al 2.36-2.58
3 Mn 0.2852 0.8494 0.5988  5 Al 2.36-2.59
4 Mn 0.7148 0.1506 0.4012  5 Al 2.36-2.59
5 Al 0.1550 0.5313 0.8729  4 Mn 2.51-2.67, 3 Al 2.60-2.73
6 Al 0.8450 0.4687 0.1271  4 Mn 2.51-2.67, 3 Al 2.60-2.73
7 Al 0.5064 0.8919 0.8749  4 Mn 2.51-2.72, 5 Al 2.61-2.78
8 Al 0.4936 0.1081 0.1251  4 Mn 2.51-2.72, 5 Al 2.61-2.78
9 Al 0.4336 0.3282 0.6262  4 Mn 2.50-2.70, 5 Al 2.54-2.65
10 Al 0.5664 0.6718 0.3738  4 Mn 2.50-2.70, 5 Al 2.54-2.65
11 Al 0.7992 0.7319 0.6321  4 Mn 2.46-2.59, 4 Al 2.60-2.64
12 Al 0.2008 0.2681 0.3679  4 Mn 2.46-2.59, 4 Al 2.60-2.64
13 Al 0.9493 0.1814 0.6748  2 Mn 2.36-2.51, 3 Al 2.54-2.64
14 Al 0.0507 0.8186 0.3252  2 Mn 2.36-2.51, 3 Al 2.54-2.64
15 Al 0.0000 0.0000 0.0000  2 Mn 2.36

=====

In order of appearance, total magnetic moment = 0.0, 0.0, 0.0, 0.0, 1.0, 1.3, 0.0, 0.0, 0.0, 1.0 μB per formula unit.